NaLaHoGa: optimized geometry, PBE-GGA.

E_form	-52	kJ/mol of formula units
symmetry	F-43m (216)

Cell: 5.356 5.356 5.356 Å, 60.00 60.00 60.00°
Sites, in units of the cell vectors:
Ho  0.000  0.000  0.000
Ga  0.250  0.250  0.250
Na  0.750  0.750  0.750
La  0.500  0.500  0.500